# PBE TaZnW2, optimized geometry
data_TaZnW2
_chemical_formula_sum 'Ta4 Zn4 W8'
_cell_length_a 7.2372
_cell_length_b 7.2372
_cell_length_c 5.3262
_cell_angle_alpha 90.00
_cell_angle_beta 90.00
_cell_angle_gamma 90.00
_symmetry_space_group_name_H-M 'I -4 2 d'
_symmetry_Int_Tables_number 122
_symmetry_space_group_name_Hall 'I -4 2bw'
loop_
_atom_site_label
_atom_site_type_symbol
_atom_site_fract_x
_atom_site_fract_y
_atom_site_fract_z
Ta1 Ta 0.0000 0.0000 0.0000
Zn1 Zn 0.0000 0.0000 0.5000
W1 W 0.2328 0.7500 0.6250
# - electronic total energy (eV per formula unit) = -35.17

=====

# PBE VHPt2, optimized geometry
data_VHPt2
_chemical_formula_sum 'V3 H3 Pt6'
_cell_length_a 2.7687
_cell_length_b 2.7687
_cell_length_c 22.9062
_cell_angle_alpha 90.00
_cell_angle_beta 90.00
_cell_angle_gamma 120.00
_symmetry_space_group_name_H-M 'R -3 m'
_symmetry_Int_Tables_number 166
_symmetry_space_group_name_Hall '-R 3 2"'
loop_
_atom_site_label
_atom_site_type_symbol
_atom_site_fract_x
_atom_site_fract_y
_atom_site_fract_z
V1 V 0.0000 0.0000 0.0000
H1 H 0.0000 0.0000 0.5000
Pt1 Pt 0.0000 0.0000 0.1063
# - electronic total energy (eV per formula unit) = -23.83
# - ΔE to the lowest computed polymorph (meV/atom) = 327

=====

# PBE CaIrSe, optimized geometry
data_CaIrSe
_chemical_formula_sum 'Ca1 Ir1 Se1'
_cell_length_a 4.2227
_cell_length_b 4.2227
_cell_length_c 4.1647
_cell_angle_alpha 90.00
_cell_angle_beta 90.00
_cell_angle_gamma 120.00
_symmetry_space_group_name_H-M 'P -6 m 2'
_symmetry_Int_Tables_number 187
_symmetry_space_group_name_Hall 'P -6 2'
loop_
_atom_site_label
_atom_site_type_symbol
_atom_site_fract_x
_atom_site_fract_y
_atom_site_fract_z
Ca1 Ca 0.0000 0.0000 0.0000
Ir1 Ir 0.3333 0.6667 0.5000
Se1 Se 0.6667 0.3333 0.5000
# - electronic total energy (eV per formula unit) = -16.41
# - ΔE to the lowest computed polymorph (meV/atom) = 0
# - formation energy without anion corrections (eV per formula unit) = -2.058

=====

no.,calculated volume (A^3/atom)
1,17.436
2,12.672
3,21.438